14
Lattice="-1.666 -3.150 6.511 0.443 -6.713 -3.135 7.219 -0.315 1.694" Properties=species:S:1:pos:R:3 comment="KSn3Pt3 (PBE, optimized geometry)" energy_ev_per_atom=-4.81 formation_energy_mev_per_atom=-352 polymorph_energy_ev_per_atom=0.007 dos_ef_per_ev_fu=1.360 magmom_total_mub_per_cell=0.00 pbc="T T T"
K 2.998 -5.089 2.535
K 0.000 0.000 0.000
Sn 3.193 -0.945 2.475
Sn 2.026 -3.435 -1.144
Sn -0.501 -6.610 0.904
Sn 2.360 -2.520 5.730
Sn 5.636 -3.593 -0.297
Sn -0.722 -3.253 2.472
Pt 3.720 -1.836 0.064
Pt 3.942 -5.192 -1.504
Pt 4.582 -1.811 4.526
Pt -1.028 -5.719 3.316
Pt 0.972 -1.654 3.679
Pt -0.195 -4.144 0.060